Entry 1:
Li5Cr3 | GGA-PBE | relaxed

a b c (Å): 7.9814 7.9814 4.4744
angles (deg): 90.00 90.00 120.00
Atoms (fractional coordinates):
1 Li 0.0000 0.2275 0.2500
2 Li 0.0000 0.7725 0.7500
3 Li 0.2275 0.0000 0.2500
4 Li 0.2275 0.2275 0.7500
5 Li 0.3333 0.6667 0.0000
6 Li 0.3333 0.6667 0.5000
7 Li 0.6667 0.3333 0.0000
8 Li 0.6667 0.3333 0.5000
9 Li 0.7725 0.0000 0.7500
10 Li 0.7725 0.7725 0.2500
11 Cr 0.0000 0.4436 0.7500
12 Cr 0.0000 0.5564 0.2500
13 Cr 0.4436 0.0000 0.7500
14 Cr 0.4436 0.4436 0.2500
15 Cr 0.5564 0.0000 0.2500
16 Cr 0.5564 0.5564 0.7500

space group: P6_3/mcm
crystal system: hexagonal
electronic total energy: -4.00 eV per atom
energy of formation: 803 meV/atom
mass density: 2.6 g/cm3


Entry 2:
LiCr3 | GGA-PBE | relaxed

a b c (Å): 2.4849 2.4849 9.2247
angles (deg): 90.00 90.00 120.00
Atoms (fractional coordinates):
1 Li 0.0000 0.0000 0.0000
2 Cr 0.0000 0.0000 0.5000
3 Cr 0.3333 0.6667 0.2609
4 Cr 0.3333 0.6667 0.7391

space group: P-6m2
crystal system: hexagonal
electronic total energy: -7.25 eV per atom
energy of formation: 449 meV/atom
mass density: 5.5 g/cm3


Entry 3:
LiCr | GGA-PBE | relaxed

a b c (Å): 2.5265 2.5265 28.3754
angles (deg): 90.00 90.00 120.00
Atoms (fractional coordinates):
1 Li 0.0000 0.0000 0.1206
2 Li 0.0000 0.0000 0.8794
3 Li 0.3333 0.6667 0.5460
4 Li 0.3333 0.6667 0.7873
5 Li 0.6667 0.3333 0.2127
6 Li 0.6667 0.3333 0.4540
7 Cr 0.0000 0.0000 0.3715
8 Cr 0.0000 0.0000 0.6285
9 Cr 0.3333 0.6667 0.0382
10 Cr 0.3333 0.6667 0.2952
11 Cr 0.6667 0.3333 0.7048
12 Cr 0.6667 0.3333 0.9618

space group: R-3m
crystal system: trigonal
electronic total energy: -5.37 eV per atom
energy of formation: 399 meV/atom
mass density: 3.7 g/cm3
distance to the lowest polymorph of the same formula: 119.2 meV per atom


Entry 4:
LiCr | GGA-PBE | relaxed

a b c (Å): 4.7372 2.3098 4.5258
angles (deg): 90.00 90.00 90.00
Atoms (fractional coordinates):
1 Li 0.0000 0.1123 0.0000
2 Li 0.0000 0.8877 0.5000
3 Cr 0.5000 0.3536 0.2664
4 Cr 0.5000 0.6464 0.7664

space group: Pmc2_1
crystal system: orthorhombic
electronic total energy: -5.29 eV per atom
energy of formation: 481 meV/atom
mass density: 4.0 g/cm3
distance to the lowest polymorph of the same formula: 200.9 meV per atom


Entry 5:
LiCr3 | GGA-PBE | relaxed

a b c (Å): 3.5772 3.5772 3.5772
angles (deg): 90.00 90.00 90.00
Atoms (fractional coordinates):
1 Li 0.0000 0.0000 0.0000
2 Cr 0.0000 0.5000 0.5000
3 Cr 0.5000 0.0000 0.5000
4 Cr 0.5000 0.5000 0.0000

space group: Pm-3m
crystal system: cubic
electronic total energy: -7.17 eV per atom
energy of formation: 522 meV/atom
mass density: 5.9 g/cm3


Entry 6:
LiCr3 | GGA-PBE | relaxed

a b c (Å): 2.4850 2.4850 27.6574
angles (deg): 90.00 90.00 120.00
Atoms (fractional coordinates):
1 Li 0.0000 0.0000 0.0000
2 Li 0.3333 0.6667 0.6667
3 Li 0.6667 0.3333 0.3333
4 Cr 0.0000 0.0000 0.2466
5 Cr 0.0000 0.0000 0.5000
6 Cr 0.0000 0.0000 0.7534
7 Cr 0.3333 0.6667 0.1667
8 Cr 0.3333 0.6667 0.4200
9 Cr 0.3333 0.6667 0.9133
10 Cr 0.6667 0.3333 0.0867
11 Cr 0.6667 0.3333 0.5800
12 Cr 0.6667 0.3333 0.8333

space group: R-3m
crystal system: trigonal
electronic total energy: -7.25 eV per atom
energy of formation: 444 meV/atom
mass density: 5.5 g/cm3


Entry 7:
LiCr3 | GGA-PBE | relaxed

a b c (Å): 2.3401 2.3401 8.8841
angles (deg): 90.00 90.00 90.00
Atoms (fractional coordinates):
1 Li 0.0000 0.0000 0.0000
2 Cr 0.0000 0.0000 0.5000
3 Cr 0.5000 0.5000 0.2605
4 Cr 0.5000 0.5000 0.7395

space group: P4/mmm
crystal system: tetragonal
electronic total energy: -7.31 eV per atom
energy of formation: 388 meV/atom
mass density: 5.6 g/cm3


Entry 8:
LiCr | GGA-PBE | relaxed

a b c (Å): 3.2532 3.2532 3.2532
angles (deg): 90.00 90.00 90.00
Atoms (fractional coordinates):
1 Li 0.0000 0.0000 0.0000
2 Cr 0.5000 0.5000 0.5000

space group: Pm-3m
crystal system: cubic
electronic total energy: -4.96 eV per atom
energy of formation: 813 meV/atom
mass density: 2.8 g/cm3
distance to the lowest polymorph of the same formula: 532.8 meV per atom


Entry 9:
LiCr3 | GGA-PBE | relaxed

a b c (Å): 5.0924 5.0924 8.3012
angles (deg): 90.00 90.00 120.00
Atoms (fractional coordinates):
1 Li 0.0000 0.0000 0.0000
2 Li 0.0000 0.0000 0.5000
3 Li 0.3333 0.6667 0.2500
4 Li 0.6667 0.3333 0.7500
5 Cr 0.0000 0.5000 0.0000
6 Cr 0.0000 0.5000 0.5000
7 Cr 0.1777 0.3555 0.7500
8 Cr 0.1777 0.8223 0.7500
9 Cr 0.3555 0.1777 0.2500
10 Cr 0.5000 0.0000 0.0000
11 Cr 0.5000 0.0000 0.5000
12 Cr 0.5000 0.5000 0.0000
13 Cr 0.5000 0.5000 0.5000
14 Cr 0.6445 0.8223 0.7500
15 Cr 0.8223 0.1777 0.2500
16 Cr 0.8223 0.6445 0.2500

space group: P6_3/mmc
crystal system: hexagonal
electronic total energy: -7.16 eV per atom
energy of formation: 536 meV/atom
mass density: 5.8 g/cm3


Entry 10:
LiLu2Cr | GGA-PBE | relaxed

a b c (Å): 7.0288 7.0288 7.0288
angles (deg): 90.00 90.00 90.00
Atoms (fractional coordinates):
1 Li 0.0000 0.0000 0.0000
2 Li 0.0000 0.5000 0.5000
3 Li 0.5000 0.0000 0.5000
4 Li 0.5000 0.5000 0.0000
5 Lu 0.2500 0.2500 0.2500
6 Lu 0.2500 0.2500 0.7500
7 Lu 0.2500 0.7500 0.2500
8 Lu 0.2500 0.7500 0.7500
9 Lu 0.7500 0.2500 0.2500
10 Lu 0.7500 0.2500 0.7500
11 Lu 0.7500 0.7500 0.2500
12 Lu 0.7500 0.7500 0.7500
13 Cr 0.0000 0.0000 0.5000
14 Cr 0.0000 0.5000 0.0000
15 Cr 0.5000 0.0000 0.0000
16 Cr 0.5000 0.5000 0.5000

space group: Fm-3m
crystal system: cubic
electronic total energy: -4.99 eV per atom
energy of formation: 153 meV/atom
mass density: 7.8 g/cm3
distance to the lowest polymorph of the same formula: 0.0 meV per atom


Entry 11:
LiLu2Cr | GGA-PBE | relaxed

a b c (Å): 3.3908 3.3908 7.8749
angles (deg): 90.00 90.00 90.00
Atoms (fractional coordinates):
1 Li 0.0000 0.0000 0.0000
2 Lu 0.5000 0.5000 0.2871
3 Lu 0.5000 0.5000 0.7129
4 Cr 0.0000 0.0000 0.5000

space group: P4/mmm
crystal system: tetragonal
electronic total energy: -4.97 eV per atom
energy of formation: 176 meV/atom
mass density: 7.5 g/cm3
distance to the lowest polymorph of the same formula: 23.2 meV per atom


Entry 12:
LiNdLuCr | GGA-PBE | relaxed

a b c (Å): 7.2307 7.2307 7.2307
angles (deg): 90.00 90.00 90.00
Atoms (fractional coordinates):
1 Li 0.0000 0.0000 0.0000
2 Li 0.0000 0.5000 0.5000
3 Li 0.5000 0.0000 0.5000
4 Li 0.5000 0.5000 0.0000
5 Nd 0.2500 0.2500 0.2500
6 Nd 0.2500 0.7500 0.7500
7 Nd 0.7500 0.2500 0.7500
8 Nd 0.7500 0.7500 0.2500
9 Lu 0.2500 0.2500 0.7500
10 Lu 0.2500 0.7500 0.2500
11 Lu 0.7500 0.2500 0.2500
12 Lu 0.7500 0.7500 0.7500
13 Cr 0.0000 0.0000 0.5000
14 Cr 0.0000 0.5000 0.0000
15 Cr 0.5000 0.0000 0.0000
16 Cr 0.5000 0.5000 0.5000

space group: F-43m
crystal system: cubic
electronic total energy: -5.01 eV per atom
energy of formation: 195 meV/atom
mass density: 6.6 g/cm3


Entry 13:
LiPmLuCr | GGA-PBE | relaxed

a b c (Å): 7.2009 7.2009 7.2009
angles (deg): 90.00 90.00 90.00
Atoms (fractional coordinates):
1 Li 0.0000 0.0000 0.0000
2 Li 0.0000 0.5000 0.5000
3 Li 0.5000 0.0000 0.5000
4 Li 0.5000 0.5000 0.0000
5 Pm 0.2500 0.2500 0.7500
6 Pm 0.2500 0.7500 0.2500
7 Pm 0.7500 0.2500 0.2500
8 Pm 0.7500 0.7500 0.7500
9 Lu 0.2500 0.2500 0.2500
10 Lu 0.2500 0.7500 0.7500
11 Lu 0.7500 0.2500 0.7500
12 Lu 0.7500 0.7500 0.2500
13 Cr 0.0000 0.0000 0.5000
14 Cr 0.0000 0.5000 0.0000
15 Cr 0.5000 0.0000 0.0000
16 Cr 0.5000 0.5000 0.5000

space group: F-43m
crystal system: cubic
electronic total energy: -5.02 eV per atom
energy of formation: 187 meV/atom
mass density: 6.7 g/cm3